Compound: CrWN3
Source: Alexandria via LeMat-Bulk
Functional: PBEsol
Structure: relaxed

a = 3.9132 Å, b = 3.9132 Å, c = 3.9132 Å
α = 90.00°, β = 90.00°, γ = 90.00°
Fractional coordinates of all 5 atoms:
Cr: 0.0000 0.0000 0.0000
W: 0.5000 0.5000 0.5000
N: 0.0000 0.5000 0.5000
N: 0.5000 0.0000 0.5000
N: 0.5000 0.5000 0.0000

The crystal system is cubic.


Compound: CrW3N
Source: Alexandria via LeMat-Bulk
Functional: PBEsol
Structure: relaxed

a = 4.4044 Å, b = 4.4044 Å, c = 4.4044 Å
α = 90.00°, β = 90.00°, γ = 90.00°
Fractional coordinates of all 5 atoms:
Cr: 0.0000 0.0000 0.0000
W: 0.0000 0.0000 0.5000
W: 0.0000 0.5000 0.0000
W: 0.5000 0.0000 0.0000
N: 0.5000 0.5000 0.5000

The crystal system is cubic.


| no. | total energy (Ha/atom) |
| --- | --- |
| 1 | -0.3479 |
| 2 | -0.3437 |